No. 1
DFT (PBE) results for a relaxed BeGa2Pd2 crystal.

- energy above the lowest structure with this stoichiometry (meV/atom) = 0
- ΔH_f (0 K) (meV/atom) = -369

Lattice parameters (Å, degrees): 6.1621 6.1621 3.9033 90.00 90.00 90.00
Fractional coordinates of all 10 atoms:
Be1 0.0000 0.0000 0.0000
Be2 0.5000 0.5000 0.0000
Ga1 0.1527 0.6527 0.5000
Ga2 0.6527 0.8473 0.5000
Ga3 0.8473 0.3473 0.5000
Ga4 0.3473 0.1527 0.5000
Pd1 0.3364 0.8364 0.0000
Pd2 0.8364 0.6636 0.0000
Pd3 0.6636 0.1636 0.0000
Pd4 0.1636 0.3364 0.0000

=====

No. 2
DFT (PBE) results for a relaxed DyInCuRh crystal.

- ΔH_f (0 K) (meV/atom) = -466

Lattice parameters (Å, degrees): 4.7239 4.7239 4.7239 60.00 60.00 60.00
Fractional coordinates of all 4 atoms:
In1 0.5000 0.5000 0.5000
Rh1 0.7500 0.7500 0.7500
Cu1 0.2500 0.2500 0.2500
Dy1 0.0000 0.0000 0.0000

=====

No. 3
DFT (PBE) results for a relaxed IrRhW2 crystal.

- energy above the lowest structure with this stoichiometry (meV/atom) = 177
- ΔH_f (0 K) (meV/atom) = -57

Lattice parameters (Å, degrees): 9.1648 9.1648 9.1648 17.55 17.55 17.55
Fractional coordinates of all 4 atoms:
Ir1 0.5000 0.5000 0.5000
Rh1 0.0000 0.0000 0.0000
W1 0.7500 0.7500 0.7500
W2 0.2500 0.2500 0.2500

=====

No. 4
DFT (PBE) results for a relaxed CdBr crystal.

- formation energy (no corrections) (meV/atom) = -215

Lattice parameters (Å, degrees): 8.4468 8.4468 8.4468 90.00 90.00 90.00
Fractional coordinates of all 12 atoms:
Cd1 0.2500 0.5000 0.0000
Cd2 0.7500 0.5000 0.0000
Cd3 0.5000 0.0000 0.2500
Cd4 0.5000 0.0000 0.7500
Cd5 0.0000 0.2500 0.5000
Cd6 0.0000 0.7500 0.5000
Br1 0.2500 0.0000 0.5000
Br2 0.7500 0.0000 0.5000
Br3 0.0000 0.5000 0.2500
Br4 0.0000 0.5000 0.7500
Br5 0.5000 0.2500 0.0000
Br6 0.5000 0.7500 0.0000

=====

No. 5
DFT (PBE) results for a relaxed Pr3HoRh3 crystal.

- ΔH_f (0 K) (meV/atom) = -560

Lattice parameters (Å, degrees): 7.0481 7.0481 7.2017 90.49 90.49 96.79
Fractional coordinates of all 14 atoms:
Pr1 0.6671 0.6671 0.3740
Pr2 0.1795 0.8205 0.5000
Pr3 0.8205 0.1795 0.5000
Pr4 0.2526 0.7474 0.0000
Pr5 0.7474 0.2526 0.0000
Pr6 0.3329 0.3329 0.6260
Ho1 0.7631 0.7631 0.8712
Ho2 0.2369 0.2369 0.1288
Rh1 0.9351 0.9351 0.1935
Rh2 0.9863 0.5026 0.7243
Rh3 0.5026 0.9863 0.7243
Rh4 0.0137 0.4974 0.2757
Rh5 0.4974 0.0137 0.2757
Rh6 0.0649 0.0649 0.8065

=====

No. 6
DFT (PBE) results for a relaxed KZnPb2 crystal.

- energy above the lowest structure with this stoichiometry (meV/atom) = 53
- ΔH_f (0 K) (meV/atom) = 18

Lattice parameters (Å, degrees): 6.7384 6.7384 6.7384 148.79 127.79 62.09
Fractional coordinates of all 4 atoms:
K1 0.2500 0.7500 0.5000
Pb1 0.9551 0.9551 0.0000
Pb2 0.5449 0.5449 0.0000
Zn1 0.7500 0.2500 0.5000

=====

No. 7
DFT (PBE) results for a relaxed Ti6Sn2Au crystal.

- ΔH_f (0 K) (meV/atom) = -73

Lattice parameters (Å, degrees): 5.3186 6.0947 6.0947 59.99 89.99 89.99
Fractional coordinates of all 9 atoms:
Ti1 0.3198 0.3714 0.8143
Ti2 0.3196 0.8142 0.8142
Ti3 0.3198 0.8143 0.3714
Ti4 0.6802 0.6286 0.1857
Ti5 0.6804 0.1858 0.1858
Ti6 0.6802 0.1857 0.6286
Sn1 0.8004 0.6667 0.6667
Sn2 0.1996 0.3333 0.3333
Au1 0.0000 0.0000 0.0000

=====

No. 8
DFT (PBE) results for a relaxed LiGa2Sn crystal.

- ΔH_f (0 K) (meV/atom) = 8

Lattice parameters (Å, degrees): 7.8517 7.8517 6.2175 50.84 50.84 90.00
Fractional coordinates of all 8 atoms:
Sn1 0.0000 0.0000 0.0000
Sn2 0.7500 0.2500 0.5000
Ga1 0.6257 0.1250 0.2500
Ga2 0.1243 0.6250 0.2500
Ga3 0.3750 0.3743 0.7500
Ga4 0.8750 0.8757 0.7500
Li1 0.5000 0.5000 0.0000
Li2 0.2500 0.7500 0.5000

=====

No. 9
DFT (PBE) results for a relaxed RbTe2As2 crystal.

- formation energy (no corrections) (meV/atom) = -7
- energy above the lowest structure with this stoichiometry (meV/atom) = 146

Lattice parameters (Å, degrees): 4.8166 4.8166 7.5857 71.49 71.49 90.00
Fractional coordinates of all 5 atoms:
As1 0.4161 0.4161 0.1679
As2 0.5839 0.5839 0.8321
Te1 0.7500 0.2500 0.5000
Te2 0.2500 0.7500 0.5000
Rb1 0.0000 0.0000 0.0000

=====

No. 10
DFT (PBE) results for a relaxed AlCdTe4 crystal.

- formation energy (no corrections) (meV/atom) = 383

Lattice parameters (Å, degrees): 6.4340 6.4340 6.4340 60.00 60.00 60.00
Fractional coordinates of all 6 atoms:
Al1 0.7500 0.7500 0.7500
Cd1 0.0000 0.0000 0.0000
Te1 0.8778 0.3741 0.3741
Te2 0.3741 0.3741 0.8778
Te3 0.3741 0.8778 0.3741
Te4 0.3741 0.3741 0.3741

=====

No. 11
DFT (PBE) results for a relaxed Zr5ScN6 crystal.

- formation energy (no corrections) (meV/atom) = -1743

Lattice parameters (Å, degrees): 5.6352 5.6283 5.6329 60.03 80.44 70.59
Fractional coordinates of all 12 atoms:
Sc1 0.0000 0.0000 0.0000
Zr1 0.5000 0.1651 0.6699
Zr2 0.0000 0.3332 0.3337
Zr3 0.5000 0.5000 0.0000
Zr4 0.0000 0.6668 0.6663
Zr5 0.5000 0.8349 0.3301
N1 0.7512 0.0825 0.3297
N2 0.2488 0.5878 0.3297
N3 0.2459 0.2466 0.0000
N4 0.7541 0.7534 0.0000
N5 0.7512 0.4122 0.6703
N6 0.2488 0.9175 0.6703

=====

No. 12
DFT (PBE) results for a relaxed Y2TcHPt crystal.

- E_tot (eV/atom) = -7.13

Lattice parameters (Å, degrees): 4.9051 4.9051 3.5687 90.00 90.00 90.00
Fractional coordinates of all 5 atoms:
Y1 0.0000 0.5000 0.0000
Y2 0.5000 0.0000 0.0000
H1 0.0000 0.0000 0.0000
Tc1 0.0000 0.0000 0.5000
Pt1 0.5000 0.5000 0.5000

=====

DOS at the Fermi energy, record by record: 2.1 3.2 3.3 10.6 9.6 1.9 10.8 3.7 2.3 4.5 3.6 1.2 states/eV/cell